Material: Sm3Ho4Tm2
Method: DFT, PBE-GGA
State: relaxed

## Properties
Space-group type: C2/m, No. 12
Formation energy from the elements: 0.2 eV/f.u.
E_tot: -41.2 eV per formula unit

```
Sm3Ho4Tm2
1.0
7.5309 -2.5092 0.0000
7.5309 2.5092 0.0000
-2.5095 0.0000 7.5312
Sm Ho Tm
3 4 2
Direct
0.0000 0.0000 0.0000 Sm
0.1113 0.1113 0.6659 Sm
0.8887 0.8887 0.3341 Sm
0.2215 0.2215 0.3319 Ho
0.4438 0.4438 0.6673 Ho
0.5562 0.5562 0.3327 Ho
0.7785 0.7785 0.6681 Ho
0.3323 0.3323 0.9994 Tm
0.6677 0.6677 0.0006 Tm
```